# 1
A plane-wave DFT calculation with PBE was carried out for a geometry-optimized MnGeCN structure.

Its calculated total energy is -7.524 eV per atom. For the raw formation energy, the calculation gives 0.310 eV per atom. Its energy above the most stable polymorph in this dataset is 28.4 meV/atom.

```
data_MnGeCN
_chemical_formula_sum 'Mn1 Ge1 C1 N1'
_cell_length_a 3.1718
_cell_length_b 3.1718
_cell_length_c 5.3221
_cell_angle_alpha 90.00
_cell_angle_beta 90.00
_cell_angle_gamma 120.00
_symmetry_space_group_name_H-M 'P 3 m 1'
_symmetry_Int_Tables_number 156
_symmetry_space_group_name_Hall 'P 3 -2"'
loop_
_atom_site_label
_atom_site_type_symbol
_atom_site_fract_x
_atom_site_fract_y
_atom_site_fract_z
_atom_site_occupancy
Mn1 Mn 0.0000 0.0000 0.0000 1
Ge1 Ge 0.3333 0.6667 0.4959 1
C1 C 0.0000 0.0000 0.3807 1
N1 N 0.3333 0.6667 0.8724 1
```

# 2
A plane-wave DFT calculation with PBE was carried out for a geometry-optimized K5Na4Hg structure.

Its calculated total energy is -1.133 eV per atom. The calculation puts the formation energy at -2.53 kJ per mole of atoms.

```
data_K5Na4Hg
_chemical_formula_sum 'K5 Na4 Hg1'
_cell_length_a 4.3719
_cell_length_b 4.3719
_cell_length_c 26.0521
_cell_angle_alpha 90.00
_cell_angle_beta 90.00
_cell_angle_gamma 90.00
_symmetry_space_group_name_H-M 'P 4/m m m'
_symmetry_Int_Tables_number 123
_symmetry_space_group_name_Hall '-P 4 2'
loop_
_atom_site_label
_atom_site_type_symbol
_atom_site_fract_x
_atom_site_fract_y
_atom_site_fract_z
_atom_site_occupancy
K1 K 0.0000 0.0000 0.0000 1
K2 K 0.0000 0.0000 0.2112 1
K3 K 0.0000 0.0000 0.4203 1
Na1 Na 0.5000 0.5000 0.1060 1
Na2 Na 0.5000 0.5000 0.3170 1
Hg1 Hg 0.5000 0.5000 0.5000 1
```